VASP calculation (PBE) on a relaxed Ba2Tl17 crystal.

Properties
SG   R-3m (166)
Energy relative to the elements   -95 meV/atom
N(E_F)   9.54 states/eV/cell

```
Ba2Tl17
1.0
8.649 -0.024 -0.021
1.203 8.565 -0.021
1.203 1.043 8.501
Ba Tl
2 17
Direct
0.336 0.336 0.336
0.664 0.664 0.664
0.640 0.640 0.156
0.156 0.640 0.640
0.901 0.901 0.901
0.099 0.099 0.099
0.000 0.000 0.500
0.000 0.500 0.000
0.500 0.000 0.000
0.296 0.704 0.000
0.704 0.000 0.296
0.000 0.296 0.704
0.704 0.296 0.000
0.296 0.000 0.704
0.000 0.704 0.296
0.844 0.360 0.360
0.360 0.360 0.844
0.360 0.844 0.360
0.640 0.156 0.640
```


VASP calculation (PBE) on a relaxed BaTl2 crystal.

Properties
SG   Fd-3m (227)
Energy relative to the elements   -313 meV/atom
N(E_F)   5.66 states/eV/cell

```
BaTl2
1.0
6.646 0.000 0.000
3.323 5.756 0.000
3.323 1.919 5.427
Ba Tl
2 4
Direct
0.875 0.875 0.375
0.125 0.125 0.625
0.500 0.500 0.500
0.000 0.500 0.000
0.500 0.000 0.000
0.500 0.500 0.000
```


VASP calculation (PBE) on a relaxed Ba2Tl crystal.

Properties
SG   P-3m1 (164)
Energy relative to the elements   -173 meV/atom
N(E_F)   4.06 states/eV/cell

```
Ba2Tl
1.0
4.451 0.000 0.000
-2.225 3.855 0.000
0.000 0.000 9.044
Tl Ba
1 2
Direct
0.000 0.000 0.000
0.667 0.333 0.722
0.333 0.667 0.278
```